The following is a GGA-PBE calculation of a relaxed structure of Ba4TlHg, from OQMD via LeMat-Bulk.

Unit cell a=4.291 b=4.291 c=15.145 alpha=90.00 beta=90.00 gamma=90.00
Element x y z (fractional)
Ba (0.500, 0.500, 0.129)
Ba (0.000, 0.000, 0.366)
Ba (0.000, 0.000, 0.634)
Ba (0.500, 0.500, 0.871)
Hg (0.000, 0.000, 0.000)
Tl (0.500, 0.500, 0.500)

space-group type = No. 123
DFT total energy = -2.0707 eV per atom